## one
VASP calculation (PBE-GGA) on RbZn3Pt after structural relaxation.

Computed properties:
total magnetic moment: 0.00 μB/f.u.
SG: No. 221

a b c (Å): 4.993 4.993 4.993
angles (deg): 90.00 90.00 90.00
Sites, in units of the cell vectors:
Rb 0.000 0.000 0.000
Zn 0.000 0.500 0.500
Zn 0.500 0.000 0.500
Zn 0.500 0.500 0.000
Pt 0.500 0.500 0.500

=====

## two
VASP calculation (PBE-GGA) on RbZn3Pt after structural relaxation.

Computed properties:
total magnetic moment: 1.00 μB/f.u.
SG: No. 221

a b c (Å): 6.522 6.522 6.522
angles (deg): 90.00 90.00 90.00
Sites, in units of the cell vectors:
Rb 0.000 0.000 0.000
Zn 0.000 0.000 0.500
Zn 0.000 0.500 0.000
Zn 0.500 0.000 0.000
Pt 0.500 0.500 0.500

=====

The data favor one; the next most stable structure lies 1675 meV per atom above it.

=====

## one
VASP calculation (PBE-GGA) on Rb2ZrPt after structural relaxation.

Computed properties:
total magnetic moment: 3.10 μB/f.u.
SG: No. 225

a b c (Å): 5.719 5.719 5.719
angles (deg): 60.00 60.00 60.00
Sites, in units of the cell vectors:
Rb 0.250 0.250 0.250
Rb 0.750 0.750 0.750
Zr 0.000 0.000 0.000
Pt 0.500 0.500 0.500

=====

## two
VASP calculation (PBE-GGA) on Rb2ZrPt after structural relaxation.

Computed properties:
total magnetic moment: 1.66 μB/f.u.
SG: No. 122

a b c (Å): 9.311 9.311 9.311
angles (deg): 94.23 94.23 148.49
Sites, in units of the cell vectors:
Rb 0.375 0.025 0.150
Rb 0.775 0.625 0.650
Rb 0.875 0.225 0.850
Rb 0.975 0.125 0.350
Zr 0.250 0.750 0.500
Zr 0.500 0.500 0.000
Pt 0.000 0.000 0.000
Pt 0.750 0.250 0.500

=====

The data favor two; the next most stable structure lies 718 meV per atom above it.